## A
# TcSnGe

TcSnGe after structural relaxation (GGA-PBE, the Alexandria database).

a b c (Å): 3.350 3.350 5.300
angles (deg): 108.40 108.40 90.08
Positions (direct):
Ge1 0.027 0.027 0.053
Sn1 0.329 0.329 0.658
Tc1 0.644 0.644 0.289

Computed properties:
Calculated volume (Å³ per atom): 17.74

***

## B
# TcSnGe

TcSnGe after structural relaxation (GGA-PBE, the Alexandria database).

a b c (Å): 3.206 6.447 6.665
angles (deg): 111.24 103.92 90.00
Positions (direct):
Tc1 0.899 0.770 0.798
Tc2 0.101 0.230 0.202
Ge1 0.318 0.446 0.636
Ge2 0.682 0.554 0.364
Sn1 0.411 0.125 0.822
Sn2 0.589 0.875 0.178

Computed properties:
Calculated volume (Å³ per atom): 20.68

***

## C
# TcSnGe

TcSnGe after structural relaxation (GGA-PBE, the Alexandria database).

a b c (Å): 3.403 4.342 4.342
angles (deg): 120.00 90.00 90.00
Positions (direct):
Tc1 0.167 0.000 0.000
Sn1 0.667 0.667 0.333
Ge1 0.167 0.333 0.667

Computed properties:
Calculated volume (Å³ per atom): 18.52

***

Preferred: A; penalty for the next structure: 0.088 eV/atom.

***

## A
# TcSn3Ge

TcSn3Ge after structural relaxation (GGA-PBE, the Alexandria database).

a b c (Å): 5.247 5.247 5.247
angles (deg): 90.00 90.00 90.00
Positions (direct):
Tc1 0.500 0.500 0.500
Sn1 0.000 0.000 0.500
Sn2 0.000 0.500 0.000
Sn3 0.500 0.000 0.000
Ge1 0.000 0.000 0.000

Computed properties:
Calculated volume (Å³ per atom): 28.89

***

## B
# TcSn3Ge

TcSn3Ge after structural relaxation (GGA-PBE, the Alexandria database).

a b c (Å): 5.186 5.186 5.186
angles (deg): 90.00 90.00 90.00
Positions (direct):
Sn1 0.000 0.500 0.000
Sn2 0.000 0.000 0.500
Sn3 0.500 0.000 0.000
Tc1 0.000 0.000 0.000
Ge1 0.500 0.500 0.500

Computed properties:
Calculated volume (Å³ per atom): 27.89

***

Preferred: B; penalty for the next structure: 0.767 eV/atom.

***

## A
# SnGeTe2

SnGeTe2 after structural relaxation (GGA-PBE, the Alexandria database).

a b c (Å): 12.604 12.604 12.604
angles (deg): 14.60 14.60 14.60
Positions (direct):
Te1 0.081 0.081 0.081
Te2 0.919 0.919 0.919
Ge1 0.000 0.000 0.000
Sn1 0.500 0.500 0.500

Computed properties:
Calculated volume (Å³ per atom): 27.70

***

## B
# SnGeTe2

SnGeTe2 after structural relaxation (GGA-PBE, the Alexandria database).

a b c (Å): 4.383 7.589 7.616
angles (deg): 99.57 106.72 90.00
Positions (direct):
Ge1 0.750 0.250 0.000
Ge2 0.250 0.750 0.000
Te1 0.134 0.378 0.768
Te2 0.634 0.878 0.768
Te3 0.366 0.122 0.232
Te4 0.866 0.622 0.232
Sn1 0.500 0.500 0.500
Sn2 0.000 0.000 0.500

Computed properties:
Calculated volume (Å³ per atom): 29.87

***

## C
# SnGeTe2

SnGeTe2 after structural relaxation (GGA-PBE, the Alexandria database).

a b c (Å): 4.255 4.255 8.514
angles (deg): 75.53 75.53 60.00
Positions (direct):
Te1 0.083 0.083 0.751
Te2 0.269 0.269 0.194
Sn1 0.487 0.487 0.538
Ge1 0.661 0.661 0.017

Computed properties:
Calculated volume (Å³ per atom): 31.96

***

Preferred: B; penalty for the next structure: 0.031 eV/atom.

***

## A
# SnGeTe2

SnGeTe2 after structural relaxation (GGA-PBE, the Alexandria database).

a b c (Å): 9.914 9.914 9.914
angles (deg): 22.67 22.67 22.67
Positions (direct):
Ge1 0.500 0.500 0.500
Sn1 0.000 0.000 0.000
Te1 0.106 0.106 0.106
Te2 0.894 0.894 0.894

Computed properties:
Calculated volume (Å³ per atom): 31.74

***

## B
# SnGeTe2

SnGeTe2 after structural relaxation (GGA-PBE, the Alexandria database).

a b c (Å): 4.322 6.477 19.593
angles (deg): 90.00 90.00 90.00
Positions (direct):
Te1 0.250 0.382 0.663
Te2 0.750 0.118 0.163
Te3 0.750 0.870 0.573
Te4 0.250 0.130 0.427
Te5 0.750 0.370 0.927
Te6 0.250 0.630 0.073
Te7 0.750 0.618 0.337
Te8 0.250 0.882 0.837
Sn1 0.750 0.835 0.942
Sn2 0.250 0.665 0.442
Sn3 0.750 0.335 0.558
Sn4 0.250 0.165 0.058
Ge1 0.750 0.181 0.336
Ge2 0.750 0.681 0.164
Ge3 0.250 0.319 0.836
Ge4 0.250 0.819 0.664

Computed properties:
Calculated volume (Å³ per atom): 34.28

***

## C
# SnGeTe2

SnGeTe2 after structural relaxation (GGA-PBE, the Alexandria database).

a b c (Å): 7.024 7.024 8.483
angles (deg): 65.54 65.54 90.00
Positions (direct):
Ge1 0.250 0.750 0.500
Ge2 0.500 0.500 0.000
Te1 0.375 0.401 0.750
Te2 0.151 0.625 0.250
Te3 0.599 0.125 0.250
Te4 0.875 0.849 0.750
Sn1 0.000 0.000 0.000
Sn2 0.750 0.250 0.500

Computed properties:
Calculated volume (Å³ per atom): 42.41

***

Preferred: B; penalty for the next structure: 0.199 eV/atom.